P) A plane-wave DFT calculation with GGA-PBE was carried out for a geometry-optimized HfMo3Rh structure.

The size of the total moment is 0.0 μB per formula unit. As for the mass density: 9.13 g/cm3.

It has space group Pm-3m (No. 221), with a = 4.6948 Å, b = 4.6948 Å, c = 4.6948 Å, α = 90.00°, β = 90.00° and γ = 90.00°. The asymmetric unit holds Hf at (0.0000, 0.0000, 0.0000), Mo at (0.0000, 0.5000, 0.5000) and Rh at (0.5000, 0.5000, 0.5000).

***

Q) A plane-wave DFT calculation with GGA-PBE was carried out for a geometry-optimized HfMo3Rh structure.

The size of the total moment is 0.0 μB per formula unit. As for the mass density: 9.06 g/cm3.

It has space group Pm-3m (No. 221), with a = 4.7071 Å, b = 4.7071 Å, c = 4.7071 Å, α = 90.00°, β = 90.00° and γ = 90.00°. The asymmetric unit holds Hf at (0.0000, 0.0000, 0.0000), Mo at (0.0000, 0.0000, 0.5000) and Rh at (0.5000, 0.5000, 0.5000).

***

Short version: Q) is the least stable of them.

***

P) A plane-wave DFT calculation with GGA-PBE was carried out for a geometry-optimized Hf3MoRh structure.

The size of the total moment is 1.6 μB per formula unit. As for the mass density: 10.36 g/cm3.

It has space group Pm-3m (No. 221), with a = 4.9008 Å, b = 4.9008 Å, c = 4.9008 Å, α = 90.00°, β = 90.00° and γ = 90.00°. The asymmetric unit holds Hf at (0.0000, 0.0000, 0.5000), Mo at (0.5000, 0.5000, 0.5000) and Rh at (0.0000, 0.0000, 0.0000).

***

Q) A plane-wave DFT calculation with GGA-PBE was carried out for a geometry-optimized Hf3MoRh structure.

The size of the total moment is 0.0 μB per formula unit. As for the mass density: 10.24 g/cm3.

It has space group Pm-3m (No. 221), with a = 4.9192 Å, b = 4.9192 Å, c = 4.9192 Å, α = 90.00°, β = 90.00° and γ = 90.00°. The asymmetric unit holds Hf at (0.0000, 0.0000, 0.5000), Mo at (0.0000, 0.0000, 0.0000) and Rh at (0.5000, 0.5000, 0.5000).

***

Short version: Q) is the least stable of them.